ZrMn2Ir (GGA-PBE, relaxed); SG = No. 12; magnetic moment = 5.19 μB per formula unit; E = -0.657 Ry/atom; DFT formation energy = -7.6 meV per atom
1.0
5.4155 0.0000 0.0000
0.0000 8.5598 0.0000
-1.0320 0.0000 2.6738
Zr Mn Ir
2 4 2
Direct
0.0000 0.0000 0.0000
0.5000 0.5000 0.0000
0.2500 0.2500 0.5000
0.2500 0.7500 0.5000
0.7500 0.2500 0.5000
0.7500 0.7500 0.5000
0.0000 0.5000 0.0000
0.5000 0.0000 0.0000

---

ZrMn2Ir (GGA-PBE, relaxed); SG = No. 71; magnetic moment = 7.18 μB per formula unit; E = -0.668 Ry/atom; DFT formation energy = -146.7 meV per atom
1.0
3.6696 0.0000 0.0000
0.0000 4.1185 0.0000
0.0000 0.0000 8.5901
Zr Mn Ir
2 4 2
Direct
0.0000 0.0000 0.0000
0.5000 0.5000 0.5000
0.0000 0.5000 0.2403
0.0000 0.5000 0.7597
0.5000 0.0000 0.2597
0.5000 0.0000 0.7403
0.0000 0.0000 0.5000
0.5000 0.5000 0.0000

---

ZrMn2Ir (GGA-PBE, relaxed); SG = No. 122; magnetic moment = 5.77 μB per formula unit; E = -0.642 Ry/atom; DFT formation energy = 199.1 meV per atom
1.0
7.1516 0.0000 0.0000
0.0000 7.1516 0.0000
0.0000 0.0000 5.3771
Zr Mn Ir
4 8 4
Direct
0.0000 0.0000 0.0000
0.0000 0.5000 0.2500
0.5000 0.0000 0.7500
0.5000 0.5000 0.5000
0.2147 0.7500 0.6250
0.2500 0.2147 0.3750
0.2500 0.2853 0.8750
0.2853 0.7500 0.1250
0.7147 0.2500 0.1250
0.7500 0.7147 0.8750
0.7500 0.7853 0.3750
0.7853 0.2500 0.6250
0.0000 0.0000 0.5000
0.0000 0.5000 0.7500
0.5000 0.0000 0.2500
0.5000 0.5000 0.0000